No. 1
A relaxed structure of Lu2SbPd. Source: OQMD, functional PBE-GGA.

raw total energy: -19.6 eV per formula unit
space group: F-43m

a = 5.055 Å, b = 5.055 Å, c = 5.055 Å
α = 60.00°, β = 60.00°, γ = 60.00°
Atoms (fractional coordinates):
1 Lu 0.000 0.000 0.000
2 Lu 0.250 0.250 0.250
3 Sb 0.500 0.500 0.500
4 Pd 0.750 0.750 0.750



No. 2
A relaxed structure of LuSc2Pd. Source: OQMD, functional PBE-GGA.

space group: F-43m
DFT formation energy: -0.231 eV per atom

a = 4.956 Å, b = 4.956 Å, c = 4.956 Å
α = 60.00°, β = 60.00°, γ = 60.00°
Atoms (fractional coordinates):
1 Lu 0.000 0.000 0.000
2 Sc 0.250 0.250 0.250
3 Sc 0.500 0.500 0.500
4 Pd 0.750 0.750 0.750



No. 3
A relaxed structure of LuScPd2. Source: OQMD, functional PBE-GGA.

space group: F-43m
DFT formation energy: -0.584 eV per atom

a = 4.675 Å, b = 4.675 Å, c = 4.675 Å
α = 60.00°, β = 60.00°, γ = 60.00°
Atoms (fractional coordinates):
1 Lu 0.000 0.000 0.000
2 Sc 0.750 0.750 0.750
3 Pd 0.250 0.250 0.250
4 Pd 0.500 0.500 0.500



No. 4
A relaxed structure of LuTlPdSe3. Source: OQMD, functional PBE-GGA.

raw total energy: -27.9 eV per formula unit
space group: Cmcm

a = 7.767 Å, b = 7.767 Å, c = 10.254 Å
α = 90.00°, β = 90.00°, γ = 150.52°
Atoms (fractional coordinates):
1 Lu 0.000 0.000 0.000
2 Lu 0.000 0.000 0.500
3 Tl 0.241 0.759 0.750
4 Tl 0.759 0.241 0.250
5 Pd 0.480 0.520 0.250
6 Pd 0.520 0.480 0.750
7 Se 0.084 0.916 0.250
8 Se 0.372 0.628 0.060
9 Se 0.372 0.628 0.440
10 Se 0.628 0.372 0.560
11 Se 0.628 0.372 0.940
12 Se 0.916 0.084 0.750



no.,calculated volume (Å³ per cell)
1,91.3
2,86.1
3,72.3
4,304.4